VASP calculation (PBE+U) on a relaxed structure of HfW3O.

energy above the lowest structure with this stoichiometry = 0.000 eV/atom
theoretical density = 15.39 g/cm³
energy = -6.874 eV/atom
space group = Pm-3m, No. 221

Cell lengths 4.318, 4.318, 4.318 Å; angles 90.00, 90.00, 90.00 degrees
Last column: magnetic moment on the atom in μB.
Element x y z (fractional)
Hf 0.500 0.500 0.500  -0.12
O 0.000 0.000 0.000  0.07
W 0.000 0.500 0.000  1.04
W 0.000 0.000 0.500  0.95
W 0.500 0.000 0.000  1.02